VASP calculation (PBEsol) on a relaxed structure of MnTl2In.

Cell and atoms, written as POSCAR:
```
MnTl2In
1.0
0.000 3.628 3.628
3.628 0.000 3.628
3.628 3.628 0.000
Mn Tl In
1 2 1
direct
0.000 0.000 0.000
0.500 0.500 0.500
0.750 0.750 0.750
0.250 0.250 0.250
```

Output
Formation energy from the elements (kJ per mole of atoms): 44.9
D(E_F) (states/eV per atom): 0.59
E (eV/atom): -4.036